12
Lattice="6.218 0.000 0.007 -3.107 5.386 0.007 -1.046 -1.812 11.680" Properties=species:S:1:pos:R:3 comment="Pr3NdDy6Tm2 GGA-PBE relaxed" final_energy_ev_per_atom=-4.619 pbc="T T T"
Dy -0.006 -0.010 8.811
Tm 0.000 3.591 0.007
Dy 2.070 3.583 2.883
Dy -1.039 1.798 2.876
Dy 2.077 -0.001 2.876
Pr 1.032 1.787 5.847
Dy -0.013 3.575 8.818
Tm 3.111 1.795 0.007
Pr 4.138 -0.007 5.847
Nd 0.000 0.000 0.000
Pr -2.074 3.581 5.847
Dy 3.103 1.776 8.818


12
Lattice="2.732 0.000 0.000 0.000 7.458 0.000 0.000 0.000 8.790" Properties=species:S:1:pos:R:3 comment="FeCuPt4 GGA-PBE relaxed" de_polymorph_ev_per_atom=0.000 final_energy_ev_per_atom=-6.216 pbc="T T T"
Pt 1.366 2.442 0.208
Fe 0.000 6.047 6.592
Pt 1.366 2.442 4.187
Fe 0.000 1.411 2.197
Pt 1.366 5.016 4.603
Pt 0.000 0.000 4.395
Pt 0.000 0.000 0.000
Cu 0.000 3.439 6.592
Cu 0.000 4.019 2.197
Pt 1.366 6.445 2.197
Pt 1.366 5.016 8.582
Pt 1.366 1.013 6.592


11
Lattice="6.751 -0.003 -1.026 0.003 7.189 0.003 -1.445 -0.002 6.674" Properties=species:S:1:pos:R:3 comment="Pm7Zn2Ru2 GGA-PBE relaxed" final_energy_ev_per_atom=-5.068 pbc="T T T"
Zn 4.445 3.590 4.731
Pm 3.378 5.295 -0.511
Pm -0.721 1.891 3.338
Pm 0.000 0.000 0.000
Pm 6.031 5.293 2.313
Ru 4.272 7.186 1.309
Pm 2.654 1.813 2.825
Zn 0.865 3.594 0.920
Pm 1.932 1.889 6.162
Pm 2.656 5.371 2.826
Ru 1.037 -0.002 4.342


9
Lattice="5.208 0.000 3.007 1.736 4.910 3.007 0.000 0.000 6.014" Properties=species:S:1:pos:R:3 comment="Pm2PRh6 GGA-PBE relaxed" final_energy_ev_per_atom=-7.331 pbc="T T T"
Rh 2.660 3.603 4.607
Rh 1.848 1.307 6.014
Pm 5.208 3.683 9.020
Rh 4.284 1.307 7.420
Rh 2.660 3.603 7.420
P 0.000 0.000 0.000
Rh 5.096 3.603 6.014
Rh 4.284 1.307 4.607
Pm 1.736 1.228 3.007


16
Lattice="4.305 0.000 0.000 -2.153 8.085 0.000 0.000 0.000 8.982" Properties=species:S:1:pos:R:3 comment="Nd2Zn5Ni GGA-PBE relaxed" final_energy_ev_per_atom=-3.011 pbc="T T T"
Nd 0.000 0.000 4.491
Zn 2.153 5.009 3.517
Zn 0.000 6.544 2.246
Zn 0.000 5.706 4.684
Zn 0.000 5.706 8.789
Zn 2.153 2.380 4.298
Nd 2.153 5.011 6.737
Ni 2.153 0.926 2.246
Zn 0.000 3.076 5.465
Ni 0.000 7.159 6.737
Nd 0.000 3.074 2.246
Zn 0.000 3.076 8.008
Zn 2.153 5.009 0.974
Zn 2.153 2.380 0.193
Zn 2.153 1.541 6.737
Nd 0.000 0.000 0.000


4
Lattice="2.864 0.000 0.000 0.000 4.957 0.000 0.000 0.000 4.715" Properties=species:S:1:pos:R:3 comment="MgAl2W GGA-PBE relaxed" final_energy_ev_per_atom=-5.256 pbc="T T T"
Mg 1.432 0.000 2.357
W 0.000 2.478 2.357
Al 1.432 2.478 0.000
Al 0.000 0.000 0.000


4
Lattice="-0.589 2.160 -2.518 -2.864 1.776 -0.062 4.198 10.160 5.479" Properties=species:S:1:pos:R:3 comment="PrDy2Hf GGA-PBE relaxed" de_polymorph_ev_per_atom=0.271 final_energy_ev_per_atom=-5.591 pbc="T T T"
Dy 2.836 7.907 3.865
Pr 0.373 7.048 1.449
Hf 0.000 0.000 0.000
Dy -2.091 6.189 -0.966


32
Lattice="9.859 0.000 0.000 0.000 16.173 0.000 0.000 0.000 6.080" Properties=species:S:1:pos:R:3 comment="SrMn GGA-PBE relaxed" final_energy_ev_per_atom=-4.729 pbc="T T T"
Sr 5.731 12.130 1.520
Sr 8.196 0.000 3.040
Sr 1.663 8.086 0.000
Mn 7.394 2.781 1.520
Mn 2.465 5.306 4.560
Mn 7.394 13.392 4.560
Mn 0.000 6.824 3.040
Mn 7.394 10.867 4.560
Sr 9.057 12.130 1.520
Sr 4.128 4.043 1.520
Mn 4.929 6.824 0.000
Sr 9.057 4.043 4.560
Sr 3.266 8.086 3.040
Mn 0.000 1.263 0.000
Mn 4.929 9.349 0.000
Mn 4.929 14.910 3.040
Mn 4.929 1.263 3.040
Mn 0.000 9.349 3.040
Sr 8.196 8.086 0.000
Mn 2.465 2.781 4.560
Sr 3.266 0.000 0.000
Sr 5.731 4.043 4.560
Sr 1.663 0.000 3.040
Mn 7.394 5.306 1.520
Mn 2.465 10.867 1.520
Sr 4.128 12.130 4.560
Sr 6.592 0.000 0.000
Mn 2.465 13.392 1.520
Sr 0.802 12.130 4.560
Sr 0.802 4.043 1.520
Sr 6.592 8.086 3.040
Mn 0.000 14.910 0.000


5
Lattice="4.634 0.484 -0.268 -0.511 4.631 -0.268 -1.680 -2.084 7.318" Properties=species:S:1:pos:R:3 comment="NdTm2Pb2 GGA-PBE relaxed" final_energy_ev_per_atom=-4.509 pbc="T T T"
Tm -0.065 2.552 3.391
Pb 0.294 0.365 5.584
Pb 2.149 2.666 1.198
Tm 2.508 0.479 3.391
Nd 0.000 0.000 0.000


5
Lattice="-4.841 -0.328 -1.598 0.989 -4.569 -2.059 -1.297 -2.261 4.394" Properties=species:S:1:pos:R:3 comment="YSc3Re GGA-PBE relaxed" de_polymorph_ev_per_atom=0.000 final_energy_ev_per_atom=-7.415 pbc="T T T"
Sc -0.649 -1.130 2.197
Sc 0.495 -2.285 -1.030
Y -2.575 -3.579 0.368
Sc -2.421 -0.164 -0.799
Re 0.000 0.000 0.000


20
Lattice="3.795 0.000 0.000 0.000 10.086 0.000 0.000 0.000 10.086" Properties=species:S:1:pos:R:3 comment="Nd2Ga2HgPd5 GGA-PBE relaxed" final_energy_ev_per_atom=-4.821 pbc="T T T"
Ga 0.000 3.842 1.201
Pd 1.897 5.684 7.194
Ga 0.000 1.201 6.244
Pd 1.897 2.151 0.641
Pd 1.897 0.000 5.043
Hg 0.000 0.000 0.000
Pd 1.897 9.445 2.151
Nd 0.000 3.240 8.283
Nd 0.000 6.846 1.803
Pd 1.897 7.935 9.445
Pd 1.897 7.194 4.402
Nd 0.000 1.803 3.240
Hg 0.000 5.043 5.043
Pd 1.897 0.641 7.935
Ga 0.000 8.885 3.842
Nd 0.000 8.283 6.846
Ga 0.000 6.244 8.885
Pd 1.897 4.402 2.892
Pd 1.897 5.043 0.000
Pd 1.897 2.892 5.684


4
Lattice="4.269 0.000 0.000 0.000 4.511 0.000 0.000 0.000 4.316" Properties=species:S:1:pos:R:3 comment="ScAlAgPb GGA-PBE relaxed" de_polymorph_ev_per_atom=0.000 final_energy_ev_per_atom=-4.361 pbc="T T T"
Al 0.000 0.000 2.158
Sc 2.135 2.256 2.158
Pb 0.000 2.256 0.000
Ag 2.135 0.000 0.000


> Which formula does entry 4 have?

Pm2PRh6